# 1
VASP calculation (GGA-PBE) on a relaxed structure of BeHRh2.

Summary:
crystal system	tetragonal

Cell: 2.700 2.700 5.463 Å, 90.00 90.00 90.00°
Space group P4/mmm (No. 123)
Asymmetric unit:
Be 0.000 0.000 0.000 [1 per cell]
H 0.000 0.000 0.500 [1 per cell]
Rh 0.500 0.500 0.264 [2 per cell]



# 2
VASP calculation (GGA-PBE) on a relaxed structure of CaSc2Se.

Summary:
crystal system	orthorhombic
uncorrected formation energy	-0.3545	eV/atom

Cell: 4.039 4.334 5.779 Å, 90.00 90.00 90.00°
Space group Pmmm (No. 47)
Asymmetric unit:
Ca 0.000 0.000 0.000 [1 per cell]
Sc 0.000 0.500 0.500 [1 per cell]
Sc 0.500 0.000 0.500 [1 per cell]
Se 0.500 0.500 0.000 [1 per cell]



# 3
VASP calculation (GGA-PBE) on a relaxed structure of Cs2TlZnAs2.

Summary:
crystal system	orthorhombic
formation energy	-0.317	eV/atom

Cell: 6.998 16.869 6.861 Å, 90.00 90.00 90.00°
Space group Ibam (No. 72)
Asymmetric unit:
Cs 0.245 0.170 0.000 [8 per cell]
Tl 0.000 0.000 0.250 [4 per cell]
Zn 0.000 0.500 0.250 [4 per cell]
As 0.209 0.415 0.000 [8 per cell]



# 4
VASP calculation (GGA-PBE) on a relaxed structure of Tm5In2Ru2Pt.

Summary:
crystal system	tetragonal
formation energy	-0.555	eV/atom

Cell: 11.593 11.593 3.450 Å, 90.00 90.00 90.00°
Space group P4/mbm (No. 127)
Asymmetric unit:
Tm 0.000 0.500 0.000 [2 per cell]
Tm 0.065 0.198 0.000 [8 per cell]
In 0.180 0.680 0.500 [4 per cell]
Ru 0.136 0.364 0.500 [4 per cell]
Pt 0.000 0.000 0.500 [2 per cell]



# 5
VASP calculation (GGA-PBE) on a relaxed structure of AcLaAlSn.

Summary:
crystal system	cubic
formation energy	-0.433	eV/atom

Cell: 7.927 7.927 7.927 Å, 90.00 90.00 90.00°
Space group F-43m (No. 216)
Asymmetric unit:
Ac 0.000 0.000 0.000 [4 per cell]
La 0.000 0.000 0.500 [4 per cell]
Al 0.250 0.250 0.750 [4 per cell]
Sn 0.250 0.250 0.250 [4 per cell]



# 6
VASP calculation (GGA-PBE) on a relaxed structure of LiNd2Ga6Pd.

Summary:
crystal system	monoclinic
formation energy	-0.491	eV/atom

Cell: 12.287 5.336 8.606 Å, 90.00 132.89 90.00°
Space group C2/m (No. 12)
Asymmetric unit:
Li 0.000 0.000 0.000 [2 per cell]
Nd 0.032 0.500 0.779 [4 per cell]
Ga 0.161 0.000 0.410 [4 per cell]
Ga 0.249 0.252 0.242 [8 per cell]
Pd 0.000 0.000 0.500 [2 per cell]



# 7
VASP calculation (GGA-PBE) on a relaxed structure of Pu2TlCd5.

Summary:
crystal system	orthorhombic
formation energy	-0.031	eV/atom

Cell: 3.105 25.219 10.205 Å, 90.00 90.00 90.00°
Space group Cmcm (No. 63)
Asymmetric unit:
Pu 0.000 0.000 0.000 [4 per cell]
Pu 0.000 0.181 0.250 [4 per cell]
Tl 0.000 0.439 0.750 [4 per cell]
Cd 0.000 0.216 0.603 [8 per cell]
Cd 0.000 0.378 0.008 [8 per cell]
Cd 0.000 0.437 0.250 [4 per cell]



# 8
VASP calculation (GGA-PBE) on a relaxed structure of CeTeIr.

Summary:
crystal system	tetragonal
uncorrected formation energy	-0.6755	eV/atom

Cell: 3.884 3.884 20.883 Å, 90.00 90.00 90.00°
Space group I4/mmm (No. 139)
Asymmetric unit:
Ce 0.000 0.000 0.155 [4 per cell]
Te 0.000 0.000 0.423 [4 per cell]
Ir 0.000 0.000 0.286 [4 per cell]



Per-record D(E_F), states/eV/f.u.: 3.7 5.3 1.5 4.6 2.0 3.0 17.0 1.7
Per-record uncorrected energy, eV per formula unit: -21.82 -19.57 -16.55 -57.98 -18.51 -39.72 -35.85 -19.96